[1]
The following is a PBE calculation of an optimized crystal structure of Li10CaGa2, from Alexandria.

Cell and atoms, written as CIF:
```
data_Li10CaGa2
_cell_length_a 5.551
_cell_length_b 13.120
_cell_length_c 14.421
_cell_angle_alpha 90.00
_cell_angle_beta 90.00
_cell_angle_gamma 90.00
_symmetry_space_group_name_H-M 'F m m m'
_symmetry_Int_Tables_number 69
_symmetry_space_group_name_Hall '-F 2 2'
loop_
_atom_site_label
_atom_site_type_symbol
_atom_site_fract_x
_atom_site_fract_y
_atom_site_fract_z
Li1 Li 0.000 0.114 0.103
Li2 Li 0.000 0.186 0.335
Li3 Li 0.250 0.000 0.250
Ca1 Ca 0.000 0.000 0.500
Ga1 Ga 0.250 0.250 0.000
```

Properties
ΔE_f	-109	meV/atom
VASP energy	-2.20	eV/atom

[2]
The following is a PBE calculation of an optimized crystal structure of Na8B13C3, from Alexandria.

Cell and atoms, written as CIF:
```
data_Na8B13C3
_cell_length_a 2.788
_cell_length_b 8.692
_cell_length_c 10.683
_cell_angle_alpha 90.00
_cell_angle_beta 90.00
_cell_angle_gamma 90.00
_symmetry_space_group_name_H-M 'P m m 2'
_symmetry_Int_Tables_number 25
_symmetry_space_group_name_Hall 'P 2 -2'
loop_
_atom_site_label
_atom_site_type_symbol
_atom_site_fract_x
_atom_site_fract_y
_atom_site_fract_z
Na1 Na 0.000 0.248 0.000
Na2 Na 0.000 0.251 0.503
Na3 Na 0.500 0.249 0.751
Na4 Na 0.500 0.251 0.252
B1 B 0.000 0.000 0.188
B2 B 0.000 0.000 0.670
B3 B 0.000 0.000 0.828
B4 B 0.000 0.500 0.165
B5 B 0.000 0.500 0.328
B6 B 0.000 0.500 0.833
B7 B 0.500 0.000 0.086
B8 B 0.500 0.000 0.407
B9 B 0.500 0.000 0.569
B10 B 0.500 0.000 0.929
B11 B 0.500 0.500 0.058
B12 B 0.500 0.500 0.436
B13 B 0.500 0.500 0.604
C1 C 0.000 0.000 0.333
C2 C 0.000 0.500 0.680
C3 C 0.500 0.500 0.911
```

Properties
offset from the most stable computed form	0.08	eV per formula unit
ΔE_f	185	meV/atom
VASP energy	-5.02	eV/atom

[3]
The following is a PBE calculation of an optimized crystal structure of UAgPt2, from Alexandria.

Cell and atoms, written as CIF:
```
data_UAgPt2
_cell_length_a 3.8558
_cell_length_b 3.8558
_cell_length_c 19.9169
_cell_angle_alpha 90.00
_cell_angle_beta 90.00
_cell_angle_gamma 120.00
_symmetry_space_group_name_H-M 'R -3 m'
_symmetry_Int_Tables_number 166
_symmetry_space_group_name_Hall '-R 3 2"'
loop_
_atom_site_label
_atom_site_type_symbol
_atom_site_fract_x
_atom_site_fract_y
_atom_site_fract_z
U1 U 0.0000 0.0000 0.0000
Ag1 Ag 0.0000 0.0000 0.5000
Pt1 Pt 0.0000 0.0000 0.2523
```

Properties
ΔE_f	-291	meV/atom
VASP energy	-6.85	eV/atom

[4]
The following is a PBE calculation of an optimized crystal structure of AcLa2PmDy, from Alexandria.

Cell and atoms, written as CIF:
```
data_AcLa2PmDy
_cell_length_a 8.275
_cell_length_b 12.278
_cell_length_c 7.601
_cell_angle_alpha 90.00
_cell_angle_beta 90.00
_cell_angle_gamma 90.00
_symmetry_space_group_name_H-M 'C m c m'
_symmetry_Int_Tables_number 63
_symmetry_space_group_name_Hall '-C 2c 2'
loop_
_atom_site_label
_atom_site_type_symbol
_atom_site_fract_x
_atom_site_fract_y
_atom_site_fract_z
Ac1 Ac 0.000 0.241 0.250
La1 La 0.202 0.500 0.000
Pm1 Pm 0.000 0.058 0.750
Dy1 Dy 0.000 0.306 0.750
```

Properties
ΔE_f	323	meV/atom
VASP energy	-4.34	eV/atom

[5]
The following is a PBE calculation of an optimized crystal structure of YbAgGe, from Alexandria.

Cell and atoms, written as CIF:
```
data_YbAgGe
_cell_length_a 7.1788
_cell_length_b 7.1788
_cell_length_c 4.2853
_cell_angle_alpha 90.00
_cell_angle_beta 90.00
_cell_angle_gamma 120.00
_symmetry_space_group_name_H-M 'P -6 2 m'
_symmetry_Int_Tables_number 189
_symmetry_space_group_name_Hall 'P -6 -2'
loop_
_atom_site_label
_atom_site_type_symbol
_atom_site_fract_x
_atom_site_fract_y
_atom_site_fract_z
Yb1 Yb 0.0000 0.5788 0.0000
Ag1 Ag 0.0000 0.2458 0.5000
Ge1 Ge 0.0000 0.0000 0.0000
Ge2 Ge 0.3333 0.6667 0.5000
```

Properties
ΔE_f	-510	meV/atom
VASP energy	-3.51	eV/atom

[6]
The following is a PBE calculation of an optimized crystal structure of Sb2AsBr, from Alexandria.

Cell and atoms, written as CIF:
```
data_Sb2AsBr
_cell_length_a 3.781
_cell_length_b 4.598
_cell_length_c 5.948
_cell_angle_alpha 90.00
_cell_angle_beta 90.00
_cell_angle_gamma 90.00
_symmetry_space_group_name_H-M 'P m m m'
_symmetry_Int_Tables_number 47
_symmetry_space_group_name_Hall '-P 2 2'
loop_
_atom_site_label
_atom_site_type_symbol
_atom_site_fract_x
_atom_site_fract_y
_atom_site_fract_z
Sb1 Sb 0.000 0.000 0.000
Sb2 Sb 0.500 0.000 0.500
As1 As 0.000 0.500 0.500
Br1 Br 0.500 0.500 0.000
```

Properties
formation energy (no corrections)	0.3474	eV per atom
offset from the most stable computed form	1.60	eV per formula unit
VASP energy	-3.29	eV/atom

[7]
The following is a PBE calculation of an optimized crystal structure of RbBaAc2Se4, from Alexandria.

Cell and atoms, written as CIF:
```
data_RbBaAc2Se4
_cell_length_a 9.178
_cell_length_b 9.325
_cell_length_c 13.076
_cell_angle_alpha 90.00
_cell_angle_beta 90.00
_cell_angle_gamma 90.00
_symmetry_space_group_name_H-M 'I m m a'
_symmetry_Int_Tables_number 74
_symmetry_space_group_name_Hall '-I 2b 2'
loop_
_atom_site_label
_atom_site_type_symbol
_atom_site_fract_x
_atom_site_fract_y
_atom_site_fract_z
Rb1 Rb 0.250 0.250 0.250
Ba1 Ba 0.000 0.000 0.000
Ac1 Ac 0.000 0.000 0.500
Ac2 Ac 0.250 0.250 0.750
Se1 Se 0.000 0.021 0.742
Se2 Se 0.237 0.250 0.509
```

Properties
formation energy (no corrections)	-1.8598	eV per atom
VASP energy	-4.99	eV/atom

[8]
The following is a PBE calculation of an optimized crystal structure of Tb8Ge5Pd, from Alexandria.

Cell and atoms, written as CIF:
```
data_Tb8Ge5Pd
_cell_length_a 8.832
_cell_length_b 8.832
_cell_length_c 8.964
_cell_angle_alpha 90.00
_cell_angle_beta 90.00
_cell_angle_gamma 90.00
_symmetry_space_group_name_H-M 'I -4'
_symmetry_Int_Tables_number 82
_symmetry_space_group_name_Hall 'I -4'
loop_
_atom_site_label
_atom_site_type_symbol
_atom_site_fract_x
_atom_site_fract_y
_atom_site_fract_z
Tb1 Tb 0.063 0.187 0.194
Tb2 Tb 0.070 0.315 0.565
Ge1 Ge 0.000 0.000 0.500
Ge2 Ge 0.125 0.250 0.878
Pd1 Pd 0.000 0.500 0.250
```

Properties
ΔE_f	-804	meV/atom
VASP energy	-5.47	eV/atom

[9]
The following is a PBE calculation of an optimized crystal structure of LiHo4B3Pt12, from Alexandria.

Cell and atoms, written as CIF:
```
data_LiHo4B3Pt12
_cell_length_a 8.708
_cell_length_b 8.708
_cell_length_c 8.708
_cell_angle_alpha 90.00
_cell_angle_beta 90.00
_cell_angle_gamma 90.00
_symmetry_space_group_name_H-M 'I m -3 m'
_symmetry_Int_Tables_number 229
_symmetry_space_group_name_Hall '-I 4 2 3'
loop_
_atom_site_label
_atom_site_type_symbol
_atom_site_fract_x
_atom_site_fract_y
_atom_site_fract_z
Li1 Li 0.000 0.000 0.000
Ho1 Ho 0.250 0.250 0.250
B1 B 0.000 0.000 0.500
Pt1 Pt 0.000 0.000 0.263
Pt2 Pt 0.000 0.250 0.500
```

Properties
ΔE_f	-742	meV/atom
VASP energy	-6.38	eV/atom

[10]
The following is a PBE calculation of an optimized crystal structure of CaTl2CrFe, from Alexandria.

Cell and atoms, written as CIF:
```
data_CaTl2CrFe
_cell_length_a 5.223
_cell_length_b 5.223
_cell_length_c 4.331
_cell_angle_alpha 90.00
_cell_angle_beta 90.00
_cell_angle_gamma 90.00
_symmetry_space_group_name_H-M 'P 4/m m m'
_symmetry_Int_Tables_number 123
_symmetry_space_group_name_Hall '-P 4 2'
loop_
_atom_site_label
_atom_site_type_symbol
_atom_site_fract_x
_atom_site_fract_y
_atom_site_fract_z
Ca1 Ca 0.000 0.000 0.000
Tl1 Tl 0.000 0.500 0.500
Cr1 Cr 0.500 0.500 0.500
Fe1 Fe 0.500 0.500 0.000
```

Properties
ΔE_f	532	meV/atom
VASP energy	-4.43	eV/atom

[11]
The following is a PBE calculation of an optimized crystal structure of Hf2Cu3Rh, from Alexandria.

Cell and atoms, written as CIF:
```
data_Hf2Cu3Rh
_cell_length_a 5.584
_cell_length_b 8.014
_cell_length_c 8.767
_cell_angle_alpha 90.00
_cell_angle_beta 107.38
_cell_angle_gamma 90.00
_symmetry_space_group_name_H-M 'C 1 2/c 1'
_symmetry_Int_Tables_number 15
_symmetry_space_group_name_Hall '-C 2yc'
loop_
_atom_site_label
_atom_site_type_symbol
_atom_site_fract_x
_atom_site_fract_y
_atom_site_fract_z
Hf1 Hf 0.179 0.125 0.110
Cu1 Cu 0.000 0.378 0.250
Cu2 Cu 0.157 0.375 0.564
Rh1 Rh 0.000 0.124 0.750
```

Properties
ΔE_f	-263	meV/atom
VASP energy	-6.85	eV/atom

[12]
The following is a PBE calculation of an optimized crystal structure of LiCeTeSe, from Alexandria.

Cell and atoms, written as CIF:
```
data_LiCeTeSe
_cell_length_a 4.3500
_cell_length_b 4.3500
_cell_length_c 20.2904
_cell_angle_alpha 90.00
_cell_angle_beta 90.00
_cell_angle_gamma 120.00
_symmetry_space_group_name_H-M 'R 3 m'
_symmetry_Int_Tables_number 160
_symmetry_space_group_name_Hall 'R 3 -2"'
loop_
_atom_site_label
_atom_site_type_symbol
_atom_site_fract_x
_atom_site_fract_y
_atom_site_fract_z
Li1 Li 0.0000 0.0000 0.0000
Ce1 Ce 0.0000 0.0000 0.4909
Te1 Te 0.0000 0.0000 0.2538
Se1 Se 0.0000 0.0000 0.7471
```

Properties
formation energy (no corrections)	-1.4042	eV per atom
VASP energy	-5.02	eV/atom

VASP energy of number 3 (UAgPt2)? -6.85 eV/atom